(1)
Crystalline TlRuSe2 at its relaxed geometry. Source: Alexandria via LeMat-Bulk, functional PBE.

```
TlRuSe2
1.0
4.6644 0.0000 0.0000
0.0000 4.1280 0.0000
0.0000 0.0000 4.1280
Ru Se Tl
1 2 1
direct
0.5000 0.0000 0.5000
0.0000 0.0000 0.0000
0.0000 0.5000 0.5000
0.5000 0.5000 0.0000
```

- Fermi-level density of states (states/eV/cell) = 2.4
- magnetization (Bohr magnetons per cell) = 0.0
- space group = P4/mmm
- E_tot (eV/atom) = -4.003
- uncorrected formation energy (eV/atom) = 0.650

(2)
Crystalline TlRuSe2 at its relaxed geometry. Source: Alexandria via LeMat-Bulk, functional PBE.

```
TlRuSe2
1.0
-2.5372 0.4594 -4.1495
2.9069 -3.9001 -0.4549
-2.5548 -2.0598 1.3341
Ru Se Tl
1 2 1
direct
0.0000 0.5000 0.5000
0.0000 0.0000 0.0000
0.5000 0.5000 0.0000
0.5000 0.0000 0.5000
```

- Fermi-level density of states (states/eV/cell) = 3.1
- magnetization (Bohr magnetons per cell) = 0.0
- space group = Cmmm
- E_tot (eV/atom) = -4.108
- uncorrected formation energy (eV/atom) = 0.545

(3)
Crystalline TlRuSe3 at its relaxed geometry. Source: Alexandria via LeMat-Bulk, functional PBE.

```
TlRuSe3
1.0
-3.2934 -0.7496 -3.6664
-1.1376 -4.4524 1.9321
-3.5652 2.1132 2.7705
Ru Tl Se
1 1 3
direct
0.0000 0.0000 0.0000
0.5000 0.5000 0.5000
0.0000 0.5000 0.0000
0.0000 0.0000 0.5000
0.5000 0.0000 0.0000
```

- Fermi-level density of states (states/eV/cell) = 7.8
- magnetization (Bohr magnetons per cell) = 0.9
- space group = Pm-3m
- E_tot (eV/atom) = -4.250
- uncorrected formation energy (eV/atom) = 0.169

> What is the formula in the first record?

TlRuSe2

> Which formula does entry 2 have?

TlRuSe2